Entry 1:
This record from Alexandria via LeMat-Bulk describes SmDyGe2Pt5 after structural relaxation. The functional is GGA-PBE.

POSCAR file:
```
SmDyGe2Pt5
1.0
-0.324 3.748 -2.062
-3.621 -1.341 -1.868
-4.801 3.373 6.886
Sm Dy Ge Pt
1 1 2 5
direct
0.000 0.000 0.500 Sm
0.000 0.000 0.000 Dy
0.500 0.500 0.134 Ge
0.500 0.500 0.866 Ge
0.000 0.500 0.270 Pt
0.500 0.000 0.270 Pt
0.000 0.500 0.730 Pt
0.500 0.000 0.730 Pt
0.500 0.500 0.500 Pt
```

* uncorrected energy: -56.93 eV/cell
* formation energy from the elements: -87.6 kJ/mol of atoms

=====

Entry 2:
This record from Alexandria via LeMat-Bulk describes CdFe2Au after structural relaxation. The functional is GGA-PBE.

POSCAR file:
```
CdFe2Au
1.0
-1.426 2.384 -8.431
0.018 -0.107 -8.876
-2.856 -0.154 -8.403
Au Cd Fe
1 1 2
direct
0.508 0.508 0.508 Au
0.745 0.745 0.745 Cd
0.990 0.990 0.990 Fe
0.258 0.258 0.258 Fe
```

* uncorrected energy: -20.33 eV/cell
* formation energy from the elements: 19.1 kJ/mol of atoms

=====

Entry 3:
This record from Alexandria via LeMat-Bulk describes AcDyP2O8 after structural relaxation. The functional is GGA-PBE.

POSCAR file:
```
AcDyP2O8
1.0
5.318 0.000 0.000
-2.659 4.605 0.000
0.000 0.000 7.452
Ac Dy P O
1 1 2 8
direct
0.000 0.000 0.000 Ac
0.000 0.000 0.500 Dy
0.667 0.333 0.220 P
0.333 0.667 0.780 P
0.333 0.667 0.986 O
0.349 0.172 0.290 O
0.828 0.177 0.290 O
0.667 0.333 0.014 O
0.172 0.823 0.710 O
0.651 0.828 0.710 O
0.177 0.349 0.710 O
0.823 0.651 0.290 O
```

* uncorrected energy: -94.98 eV/cell
* ΔE_f (raw): -2.9823 eV/atom

=====

The total moment results, record by record, are as follows: 0.0000; 1.3465; 0.0000 μB per atom.